Entry A
LiFeP2O7 | PBE+U | relaxed

As for the density of states at the Fermi level: 0.000 states/eV/f.u. For the spin magnetization, the calculation gives 3.0 μB per formula unit.

```
data_LiFeP2O7
_space_group_name_H-M_alt 'P 1'
_space_group_IT_number 1
_cell_length_a 5.0535
_cell_length_b 6.7014
_cell_length_c 8.3669
_cell_angle_alpha 68.33
_cell_angle_beta 88.49
_cell_angle_gamma 88.88
loop_
_space_group_symop_operation_xyz
'x,y,z'
loop_
_atom_site_label
_atom_site_fract_x
_atom_site_fract_y
_atom_site_fract_z
Li1 0.8349 0.0775 0.4662
Li2 0.2700 0.8211 0.0051
O1 0.2905 0.3576 0.1615
O2 0.1601 0.2832 0.4717
O3 0.5584 0.5213 0.3287
O4 0.0933 0.6568 0.2294
O5 0.9546 0.0645 0.2335
O6 0.4419 0.9657 0.2901
O7 0.0531 0.9360 0.7967
O8 0.8158 0.7450 0.5138
O9 0.6699 0.8519 0.0228
O10 0.7134 0.6553 0.8304
O11 0.4373 0.4937 0.6697
O12 0.2795 0.1320 0.9827
O13 0.9104 0.3711 0.7415
O14 0.5799 0.0488 0.7033
Fe1 0.7531 0.7948 0.2686
Fe2 0.2440 0.2308 0.7241
P1 0.7212 0.5602 0.6786
P2 0.2430 0.1180 0.1669
P3 0.2742 0.4592 0.3108
P4 0.7579 0.8882 0.8379
```

---

Entry B
LiFeP2O7 | PBE+U | relaxed

As for the density of states at the Fermi level: 0.000 states/eV/f.u. For the spin magnetization, the calculation gives 5.0 μB per formula unit.

```
data_LiFeP2O7
_space_group_name_H-M_alt 'P 1'
_space_group_IT_number 1
_cell_length_a 4.9584
_cell_length_b 8.0245
_cell_length_c 8.7834
_cell_angle_alpha 112.47
_cell_angle_beta 90.13
_cell_angle_gamma 106.91
loop_
_space_group_symop_operation_xyz
'x,y,z'
loop_
_atom_site_label
_atom_site_fract_x
_atom_site_fract_y
_atom_site_fract_z
O1 0.8181 0.1409 0.0862
O2 0.5518 0.6807 0.2495
O3 0.8122 0.1386 0.5535
O4 0.1881 0.8642 0.2996
O5 0.6998 0.2984 0.8484
O6 0.4529 0.3236 0.6077
O7 0.9826 0.5007 0.7020
O8 0.2655 0.7044 0.4909
O9 0.6921 0.7126 0.6922
O10 0.1984 0.8553 0.8469
O11 0.1865 0.3217 0.3448
O12 0.0235 0.5021 0.1944
O13 0.7834 0.6801 0.9605
O14 0.3384 0.2985 0.0635
Li1 0.5021 0.0797 0.9274
Li2 0.1085 0.0919 0.4207
P1 0.0871 0.2962 0.1677
P2 0.2795 0.7128 0.3195
P3 0.9166 0.7099 0.8117
P4 0.7203 0.2947 0.6717
Fe1 0.3388 0.5261 0.5703
Fe2 0.6731 0.5056 0.0641
```

---

Most favorable structure: entry B. The second most favorable one is 3.8 kJ/mol of atoms above it.

---

Entry A
LiFeP2O7 | PBE+U | relaxed

For the spin magnetization, the calculation gives 3.0 μB per formula unit.

```
data_LiFeP2O7
_space_group_name_H-M_alt 'P 1'
_space_group_IT_number 1
_cell_length_a 7.9641
_cell_length_b 7.9641
_cell_length_c 8.6510
_cell_angle_alpha 71.18
_cell_angle_beta 71.18
_cell_angle_gamma 37.36
loop_
_space_group_symop_operation_xyz
'x,y,z'
loop_
_atom_site_label
_atom_site_fract_x
_atom_site_fract_y
_atom_site_fract_z
Li1 0.5184 0.8815 0.9636
Li2 0.8815 0.5184 0.4636
O1 0.3613 0.8267 0.8598
O2 0.8267 0.3613 0.3598
O3 0.1377 0.2155 0.6220
O4 0.8674 0.7704 0.3422
O5 0.2159 0.5856 0.6489
O6 0.7185 0.4643 0.0745
O7 0.2155 0.1377 0.1220
O8 0.9782 0.0186 0.7338
O9 0.4643 0.7185 0.5745
O10 0.2095 0.5954 0.9453
O11 0.5954 0.2095 0.4453
O12 0.0186 0.9782 0.2338
O13 0.7704 0.8674 0.8422
O14 0.5856 0.2159 0.1489
Fe1 0.5229 0.4664 0.5096
Fe2 0.4664 0.5229 0.0096
P1 0.2411 0.9525 0.6921
P2 0.0395 0.7561 0.7981
P3 0.9525 0.2411 0.1921
P4 0.7561 0.0395 0.2981
```

---

Entry B
LiFeP2O7 | PBE+U | relaxed

As for the density of states at the Fermi level: 0.000 states/eV/f.u. For the spin magnetization, the calculation gives 5.0 μB per formula unit.

```
data_LiFeP2O7
_space_group_name_H-M_alt 'P 1'
_space_group_IT_number 1
_cell_length_a 8.2466
_cell_length_b 4.9051
_cell_length_c 7.0220
_cell_angle_alpha 71.37
_cell_angle_beta 90.00
_cell_angle_gamma 90.00
loop_
_space_group_symop_operation_xyz
'x,y,z'
loop_
_atom_site_label
_atom_site_fract_x
_atom_site_fract_y
_atom_site_fract_z
Li1 0.1385 0.1772 0.3339
Li2 0.6385 0.8228 0.6661
O1 0.5655 0.5928 0.0826
O2 0.0655 0.4072 0.9174
O3 0.3454 0.4058 0.7555
O4 0.8191 0.5980 0.6045
O5 0.3191 0.4020 0.3955
O6 0.1526 0.7537 0.5119
O7 0.1694 0.9553 0.8575
O8 0.6526 0.2463 0.4881
O9 0.8020 0.8608 0.8818
O10 0.8454 0.5942 0.2445
O11 0.3020 0.1392 0.1182
O12 0.4587 0.8153 0.4832
O13 0.9587 0.1847 0.5168
O14 0.6694 0.0447 0.1425
P1 0.2134 0.2184 0.9159
P2 0.7134 0.7816 0.0841
P3 0.8172 0.3981 0.4761
P4 0.3172 0.6019 0.5239
Fe1 0.9979 0.7849 0.7326
Fe2 0.4979 0.2151 0.2674
```

---

Entry C
LiFeP2O7 | PBE+U | relaxed

As for the density of states at the Fermi level: 0.000 states/eV/f.u. For the spin magnetization, the calculation gives 5.0 μB per formula unit.

```
data_LiFeP2O7
_space_group_name_H-M_alt 'P 1'
_space_group_IT_number 1
_cell_length_a 8.3678
_cell_length_b 6.7172
_cell_length_c 9.1995
_cell_angle_alpha 75.76
_cell_angle_beta 90.00
_cell_angle_gamma 90.00
loop_
_space_group_symop_operation_xyz
'x,y,z'
loop_
_atom_site_label
_atom_site_fract_x
_atom_site_fract_y
_atom_site_fract_z
P1 0.7500 0.9209 0.5248
P2 0.2500 0.4209 0.0264
P3 0.2500 0.9970 0.9455
P4 0.2500 0.0791 0.4752
P5 0.7500 0.0030 0.0545
P6 0.7500 0.5791 0.9736
P7 0.2500 0.4984 0.5580
P8 0.7500 0.5016 0.4420
Li1 0.4230 0.7367 0.2494
Li2 0.9230 0.2633 0.7506
Li3 0.0770 0.7367 0.2494
Li4 0.5770 0.2633 0.7506
O1 0.7500 0.1153 0.3916
O2 0.0996 0.0867 0.3818
O3 0.7500 0.1306 0.8947
O4 0.5996 0.9133 0.6182
O5 0.9004 0.9133 0.6182
O6 0.2500 0.6224 0.3973
O7 0.2500 0.2562 0.5617
O8 0.0996 0.4173 0.1198
O9 0.0960 0.5183 0.6480
O10 0.4004 0.4173 0.1198
O11 0.7500 0.3776 0.6027
O12 0.5962 0.0210 0.1454
O13 0.2500 0.2386 0.9452
O14 0.5960 0.4817 0.3520
O15 0.7500 0.7614 0.0548
O16 0.7500 0.3876 0.1087
O17 0.9038 0.0210 0.1454
O18 0.9040 0.4817 0.3520
O19 0.4004 0.0867 0.3818
O20 0.2500 0.8847 0.6084
O21 0.2500 0.6124 0.8913
O22 0.5996 0.5827 0.8802
O23 0.2500 0.8694 0.1053
O24 0.7500 0.7438 0.4383
O25 0.9004 0.5827 0.8802
O26 0.4040 0.5183 0.6480
O27 0.0962 0.9790 0.8546
O28 0.4038 0.9790 0.8546
Fe1 0.9405 0.2493 0.2497
Fe2 0.5595 0.2493 0.2497
Fe3 0.4405 0.7507 0.7503
Fe4 0.0595 0.7507 0.7503
```

---

Most favorable structure: entry B. The second most favorable one is 3.5 kJ/mol of atoms above it.

---

Entry A
Li2FeP2O8 | PBE+U | relaxed

As for the density of states at the Fermi level: 7.746 states/eV/f.u. For the spin magnetization, the calculation gives 4.0 μB per formula unit.

```
data_Li2FeP2O8
_space_group_name_H-M_alt 'P 1'
_space_group_IT_number 1
_cell_length_a 4.8222
_cell_length_b 5.8957
_cell_length_c 10.2165
_cell_angle_alpha 90.20
_cell_angle_beta 89.34
_cell_angle_gamma 88.33
loop_
_space_group_symop_operation_xyz
'x,y,z'
loop_
_atom_site_label
_atom_site_fract_x
_atom_site_fract_y
_atom_site_fract_z
O1 0.3478 0.2484 0.9573
O2 0.2437 0.7296 0.4020
O3 0.2755 0.4445 0.1800
O4 0.7321 0.9588 0.8314
O5 0.7245 0.5555 0.8200
O6 0.8100 0.9633 0.3364
O7 0.7391 0.2328 0.1213
O8 0.7563 0.2704 0.5980
O9 0.1901 0.2546 0.4502
O10 0.8099 0.7454 0.5498
O11 0.6522 0.7516 0.0427
O12 0.2679 0.0412 0.1686
O13 0.1900 0.0367 0.6636
O14 0.7902 0.5414 0.3369
O15 0.2609 0.7672 0.8787
O16 0.2098 0.4586 0.6631
Fe1 0.9887 0.2487 0.2792
Fe2 0.0113 0.7513 0.7208
P1 0.9287 0.7488 0.4064
P2 0.4225 0.2454 0.1022
P3 0.5775 0.7546 0.8978
P4 0.0713 0.2512 0.5936
Li1 0.0000 0.0000 0.0000
Li2 0.5316 0.2575 0.7742
Li3 0.4684 0.7425 0.2258
Li4 0.5000 0.5000 0.5000
```

---

Entry B
Li2FeP2O8 | PBE+U | relaxed

As for the density of states at the Fermi level: 6.093 states/eV/f.u. For the spin magnetization, the calculation gives 6.1 μB per formula unit.

```
data_Li2FeP2O8
_space_group_name_H-M_alt 'P 1'
_space_group_IT_number 1
_cell_length_a 8.3834
_cell_length_b 5.0230
_cell_length_c 7.4480
_cell_angle_alpha 82.21
_cell_angle_beta 90.00
_cell_angle_gamma 90.00
loop_
_space_group_symop_operation_xyz
'x,y,z'
loop_
_atom_site_label
_atom_site_fract_x
_atom_site_fract_y
_atom_site_fract_z
O1 0.0432 0.9124 0.8683
O2 0.4067 0.4620 0.3328
O3 0.4061 0.0202 0.5421
O4 0.1539 0.2811 0.4763
O5 0.8651 0.5447 0.3257
O6 0.5432 0.0876 0.1317
O7 0.9061 0.9798 0.4579
O8 0.1699 0.9974 0.1619
O9 0.6699 0.0026 0.8381
O10 0.9067 0.5380 0.6672
O11 0.3651 0.4553 0.6743
O12 0.8391 0.1869 0.0707
O13 0.1305 0.5174 0.0911
O14 0.6305 0.4826 0.9089
O15 0.3391 0.8131 0.9293
O16 0.6539 0.7189 0.5237
Fe1 0.9999 0.2496 0.2562
Fe2 0.4999 0.7504 0.7438
Li1 0.4944 0.8217 0.3328
Li2 0.3428 0.3061 0.1132
Li3 0.8428 0.6939 0.8868
Li4 0.9944 0.1783 0.6672
P1 0.1694 0.8113 0.0110
P2 0.3362 0.3102 0.5079
P3 0.6694 0.1887 0.9890
P4 0.8362 0.6898 0.4921
```

---

Entry C
Li2FeP2O8 | PBE+U | relaxed

As for the density of states at the Fermi level: 6.613 states/eV/f.u. For the spin magnetization, the calculation gives 6.1 μB per formula unit.

```
data_Li2FeP2O8
_space_group_name_H-M_alt 'P 1'
_space_group_IT_number 1
_cell_length_a 8.0561
_cell_length_b 5.1268
_cell_length_c 8.9140
_cell_angle_alpha 58.65
_cell_angle_beta 90.00
_cell_angle_gamma 90.00
loop_
_space_group_symop_operation_xyz
'x,y,z'
loop_
_atom_site_label
_atom_site_fract_x
_atom_site_fract_y
_atom_site_fract_z
P1 0.6967 0.3307 0.6995
P2 0.8033 0.3307 0.1995
P3 0.1967 0.6693 0.8005
P4 0.3033 0.6693 0.3005
O1 0.8056 0.6849 0.1087
O2 0.4250 0.7947 0.1468
O3 0.3567 0.7573 0.4358
O4 0.9250 0.2053 0.3532
O5 0.8567 0.2427 0.0642
O6 0.1269 0.8067 0.2378
O7 0.6269 0.1933 0.2622
O8 0.3731 0.8067 0.7378
O9 0.3056 0.3151 0.3913
O10 0.1433 0.7573 0.9358
O11 0.1944 0.3151 0.8913
O12 0.6433 0.2427 0.5642
O13 0.0750 0.7947 0.6468
O14 0.5750 0.2053 0.8532
O15 0.8731 0.1933 0.7622
O16 0.6944 0.6849 0.6087
Fe1 0.0000 0.0000 0.0000
Fe2 0.5000 0.0000 0.5000
Li1 0.1367 0.0133 0.3974
Li2 0.3633 0.0133 0.8974
Li3 0.6367 0.9867 0.1026
Li4 0.8633 0.9867 0.6026
```

---

Most favorable structure: entry C. The second most favorable one is 1.2 kJ/mol of atoms above it.